RbNpH2O6 | PBE | relaxed

CIF file:
```
data_RbNpH2O6
_space_group_name_H-M_alt 'P 1'
_space_group_IT_number 1
_cell_length_a 5.227
_cell_length_b 5.349
_cell_length_c 6.840
_cell_angle_alpha 75.85
_cell_angle_beta 67.60
_cell_angle_gamma 62.83
loop_
_space_group_symop_operation_xyz
'x,y,z'
loop_
_atom_site_label
_atom_site_type_symbol
_atom_site_fract_x
_atom_site_fract_y
_atom_site_fract_z
_atom_site_occupancy
Rb1 Rb 0.000 0.000 0.000 1
Np1 Np 0.516 0.494 0.506 1
H1 H 0.245 0.214 0.438 1
H2 H 0.858 0.807 0.537 1
O1 O 0.033 0.876 0.453 1
O2 O 0.270 0.404 0.760 1
O3 O 0.413 0.279 0.351 1
O4 O 0.620 0.696 0.641 1
O5 O 0.740 0.583 0.241 1
O6 O 0.955 0.117 0.564 1
```

Properties
* VASP energy: -6.701 eV/atom

---

Os3Cl | PBE | relaxed

CIF file:
```
data_Os3Cl
_space_group_name_H-M_alt 'P m -3 n'
_space_group_IT_number 223
_space_group_name_Hall '-P 4n 2 3'
_cell_length_a 4.994
_cell_length_b 4.994
_cell_length_c 4.994
_cell_angle_alpha 90.00
_cell_angle_beta 90.00
_cell_angle_gamma 90.00
loop_
_atom_site_label
_atom_site_type_symbol
_atom_site_fract_x
_atom_site_fract_y
_atom_site_fract_z
_atom_site_occupancy
Os1 Os 0.000 0.250 0.500 1
Cl1 Cl 0.000 0.000 0.000 1
```

Properties
* excess energy over the best structure of this formula in the dataset: 1332.7 meV per atom
* formation energy without anion corrections: 1948 meV/atom